(1)
PPbCO2: optimized geometry, PBE-GGA.

The structure in POSCAR format:
```
PPbCO2
1.0
-2.225 -3.321 -0.115
3.183 -2.090 -1.223
1.458 -1.177 5.807
O P Pb C
2 1 1 1
Direct
0.500 0.000 0.000 O
0.000 0.500 0.000 O
0.000 0.000 0.500 P
0.000 0.000 0.000 Pb
0.500 0.500 0.500 C
```

Total moment   0.30 μB per formula unit
Formation energy (no corrections)   1.642 eV/atom
ΔE to the lowest computed polymorph   0.873 eV per atom

=====

(2)
PPbCO2: optimized geometry, PBE-GGA.

The structure in POSCAR format:
```
PPbCO2
1.0
4.064 0.000 0.000
0.000 4.064 0.000
0.000 0.000 3.733
Pb P C O
1 1 1 2
Direct
0.500 0.500 0.500 Pb
0.000 0.000 0.500 P
0.000 0.000 0.000 C
0.500 0.000 0.000 O
0.000 0.500 0.000 O
```

Total moment   0.00 μB per formula unit
Formation energy (no corrections)   0.769 eV/atom
ΔE to the lowest computed polymorph   0.000 eV per atom

=====

(3)
PPdC2O: optimized geometry, PBE-GGA.

The structure in POSCAR format:
```
PPdC2O
1.0
-0.329 0.103 -3.754
-2.046 -4.936 0.044
-3.467 1.440 0.344
C O Pd P
2 1 1 1
Direct
0.000 0.000 0.500 C
0.500 0.000 0.000 C
0.500 0.500 0.500 O
0.000 0.000 0.000 Pd
0.000 0.500 0.000 P
```

Total moment   0.91 μB per formula unit
Formation energy (no corrections)   2.205 eV/atom